Material: Gd2PdPb
Method: DFT, PBE-GGA
State: optimized geometry

abc: 5.250 5.250 5.250
angles: 60.00 60.00 60.00
Fractional coordinates of all 4 atoms:
1 Gd 0.250 0.250 0.250
2 Gd 0.750 0.750 0.750
3 Pd 0.000 0.000 0.000
4 Pb 0.500 0.500 0.500

## Properties
calculated formation energy	-59.6	kJ/mol of atoms
uncorrected energy	-9.8839	eV per atom
ΔE to the lowest computed polymorph	46	meV/atom

***

Material: GdPdPb2
Method: DFT, PBE-GGA
State: optimized geometry

abc: 10.655 10.655 10.655
angles: 18.90 18.90 18.90
Fractional coordinates of all 4 atoms:
1 Gd 0.000 0.000 0.000
2 Pd 0.500 0.500 0.500
3 Pb 0.101 0.101 0.101
4 Pb 0.899 0.899 0.899

## Properties
calculated formation energy	-3.4	kJ/mol of atoms
uncorrected energy	-6.7077	eV per atom
ΔE to the lowest computed polymorph	364	meV/atom

***

Material: Gd2PdPb
Method: DFT, PBE-GGA
State: optimized geometry

abc: 8.766 8.766 8.766
angles: 25.93 25.93 25.93
Fractional coordinates of all 4 atoms:
1 Gd 0.236 0.236 0.236
2 Gd 0.764 0.764 0.764
3 Pd 0.500 0.500 0.500
4 Pb 0.000 0.000 0.000

## Properties
calculated formation energy	-51.5	kJ/mol of atoms
uncorrected energy	-9.7993	eV per atom
ΔE to the lowest computed polymorph	131	meV/atom

***

Material: GdPdPb
Method: DFT, PBE-GGA
State: optimized geometry

abc: 6.226 6.226 6.226
angles: 146.78 146.78 47.69
Fractional coordinates of all 3 atoms:
1 Gd 0.000 0.000 0.000
2 Pd 0.354 0.354 0.000
3 Pb 0.705 0.705 0.000

## Properties
calculated formation energy	-48.7	kJ/mol of atoms
uncorrected energy	-8.1656	eV per atom

***

Material: GdPdPb2
Method: DFT, PBE-GGA
State: optimized geometry

abc: 4.648 4.648 4.555
angles: 90.00 90.00 90.00
Fractional coordinates of all 4 atoms:
1 Gd 0.000 0.000 0.000
2 Pd 0.500 0.500 0.000
3 Pb 0.000 0.500 0.500
4 Pb 0.500 0.000 0.500

## Properties
calculated formation energy	-38.5	kJ/mol of atoms
uncorrected energy	-7.0714	eV per atom
ΔE to the lowest computed polymorph	0	meV/atom

***

Material: GdPdPb
Method: DFT, PBE-GGA
State: optimized geometry

abc: 4.788 4.788 3.628
angles: 90.00 90.00 120.00
Fractional coordinates of all 3 atoms:
1 Gd 0.000 0.000 0.000
2 Pd 0.333 0.667 0.500
3 Pb 0.667 0.333 0.500

## Properties
calculated formation energy	-63.6	kJ/mol of atoms
uncorrected energy	-8.3200	eV per atom

***

Material: PmGdPdPb
Method: DFT, PBE-GGA
State: optimized geometry

abc: 5.299 5.299 5.299
angles: 60.00 60.00 60.00
Fractional coordinates of all 4 atoms:
1 Pm 0.000 0.000 0.000
2 Gd 0.500 0.500 0.500
3 Pd 0.750 0.750 0.750
4 Pb 0.250 0.250 0.250

## Properties
calculated formation energy	-57.9	kJ/mol of atoms
uncorrected energy	-7.5332	eV per atom

***

Material: PrGdPdPb
Method: DFT, PBE-GGA
State: optimized geometry

abc: 5.339 5.339 5.339
angles: 60.00 60.00 60.00
Fractional coordinates of all 4 atoms:
1 Pr 0.000 0.000 0.000
2 Gd 0.500 0.500 0.500
3 Pd 0.750 0.750 0.750
4 Pb 0.250 0.250 0.250

## Properties
calculated formation energy	-56.4	kJ/mol of atoms
uncorrected energy	-7.5250	eV per atom

***

Material: GdPuPdPb
Method: DFT, PBE-GGA
State: optimized geometry

abc: 5.271 5.271 5.271
angles: 60.00 60.00 60.00
Fractional coordinates of all 4 atoms:
1 Gd 0.000 0.000 0.000
2 Pu 0.500 0.500 0.500
3 Pd 0.250 0.250 0.250
4 Pb 0.750 0.750 0.750

## Properties
calculated formation energy	-34.4	kJ/mol of atoms
uncorrected energy	-9.6848	eV per atom

***

Material: GdPdRhPb
Method: DFT, PBE-GGA
State: optimized geometry

abc: 4.845 4.845 4.845
angles: 60.00 60.00 60.00
Fractional coordinates of all 4 atoms:
1 Gd 0.000 0.000 0.000
2 Pd 0.750 0.750 0.750
3 Rh 0.250 0.250 0.250
4 Pb 0.500 0.500 0.500

## Properties
calculated formation energy	-55.0	kJ/mol of atoms
uncorrected energy	-8.1532	eV per atom

***

Material: GdScPdPb
Method: DFT, PBE-GGA
State: optimized geometry

abc: 5.094 5.094 5.094
angles: 60.00 60.00 60.00
Fractional coordinates of all 4 atoms:
1 Gd 0.000 0.000 0.000
2 Sc 0.500 0.500 0.500
3 Pd 0.750 0.750 0.750
4 Pb 0.250 0.250 0.250

## Properties
calculated formation energy	-55.4	kJ/mol of atoms
uncorrected energy	-7.9021	eV per atom

***

Material: GdTlPdPb
Method: DFT, PBE-GGA
State: optimized geometry

abc: 5.164 5.164 5.164
angles: 60.00 60.00 60.00
Fractional coordinates of all 4 atoms:
1 Gd 0.000 0.000 0.000
2 Tl 0.250 0.250 0.250
3 Pd 0.750 0.750 0.750
4 Pb 0.500 0.500 0.500

## Properties
calculated formation energy	-34.5	kJ/mol of atoms
uncorrected energy	-6.6943	eV per atom

***

Material: GdYPdPb
Method: DFT, PBE-GGA
State: optimized geometry

abc: 5.237 5.237 5.237
angles: 60.00 60.00 60.00
Fractional coordinates of all 4 atoms:
1 Gd 0.000 0.000 0.000
2 Y 0.500 0.500 0.500
3 Pd 0.250 0.250 0.250
4 Pb 0.750 0.750 0.750

## Properties
calculated formation energy	-60.4	kJ/mol of atoms
uncorrected energy	-7.9876	eV per atom

***

Material: GdZnPdPb
Method: DFT, PBE-GGA
State: optimized geometry

abc: 4.947 4.947 4.947
angles: 60.00 60.00 60.00
Fractional coordinates of all 4 atoms:
1 Gd 0.000 0.000 0.000
2 Zn 0.250 0.250 0.250
3 Pd 0.750 0.750 0.750
4 Pb 0.500 0.500 0.500

## Properties
calculated formation energy	-45.7	kJ/mol of atoms
uncorrected energy	-6.5375	eV per atom

***

Material: PmGdPb
Method: DFT, PBE-GGA
State: optimized geometry

abc: 5.952 5.952 5.952
angles: 138.88 138.88 59.56
Fractional coordinates of all 3 atoms:
1 Pm 0.000 0.000 0.000
2 Gd 0.312 0.312 0.000
3 Pb 0.658 0.658 0.000

## Properties
calculated formation energy	-34.1	kJ/mol of atoms
uncorrected energy	-7.8665	eV per atom
ΔE to the lowest computed polymorph	0	meV/atom

***

Material: PmGdPb2
Method: DFT, PBE-GGA
State: optimized geometry

abc: 3.567 3.567 9.133
angles: 90.00 90.00 90.00
Fractional coordinates of all 4 atoms:
1 Pm 0.000 0.000 0.000
2 Gd 0.000 0.000 0.500
3 Pb 0.500 0.500 0.253
4 Pb 0.500 0.500 0.747

## Properties
calculated formation energy	-49.8	kJ/mol of atoms
uncorrected energy	-7.0778	eV per atom

***

Material: PmGdPb
Method: DFT, PBE-GGA
State: optimized geometry

abc: 5.291 5.291 5.291
angles: 60.00 60.00 60.00
Fractional coordinates of all 3 atoms:
1 Pm 0.000 0.000 0.000
2 Gd 0.500 0.500 0.500
3 Pb 0.250 0.250 0.250

## Properties
calculated formation energy	-25.1	kJ/mol of atoms
uncorrected energy	-7.7736	eV per atom
ΔE to the lowest computed polymorph	93	meV/atom

***

Material: Pm2GdPb
Method: DFT, PBE-GGA
State: optimized geometry

abc: 4.964 4.964 4.911
angles: 90.00 90.00 90.00
Fractional coordinates of all 4 atoms:
1 Pm 0.000 0.500 0.000
2 Pm 0.500 0.000 0.000
3 Gd 0.000 0.000 0.500
4 Pb 0.500 0.500 0.500

## Properties
calculated formation energy	-32.3	kJ/mol of atoms
uncorrected energy	-7.1578	eV per atom
ΔE to the lowest computed polymorph	0	meV/atom

***

Material: PmGdPb2
Method: DFT, PBE-GGA
State: optimized geometry

abc: 9.097 9.097 9.097
angles: 26.13 26.13 26.13
Fractional coordinates of all 4 atoms:
1 Pm 0.000 0.000 0.000
2 Gd 0.500 0.500 0.500
3 Pb 0.249 0.249 0.249
4 Pb 0.751 0.751 0.751

## Properties
calculated formation energy	-37.5	kJ/mol of atoms
uncorrected energy	-6.9507	eV per atom

***

Material: Pm2GdPb
Method: DFT, PBE-GGA
State: optimized geometry

abc: 5.571 5.571 5.571
angles: 60.00 60.00 60.00
Fractional coordinates of all 4 atoms:
1 Pm 0.250 0.250 0.250
2 Pm 0.750 0.750 0.750
3 Gd 0.000 0.000 0.000
4 Pb 0.500 0.500 0.500

## Properties
calculated formation energy	-17.5	kJ/mol of atoms
uncorrected energy	-7.0041	eV per atom
ΔE to the lowest computed polymorph	154	meV/atom